A plane-wave DFT calculation with GGA+U was carried out for NaV2O4 after structural relaxation.

Output
As for the energy relative to the lowest polymorph listed for this composition: 25 meV/atom.

abc: 6.624 6.624 5.196
angles: 103.05 103.05 53.48
Atoms (fractional coordinates):
Na1 0.191 0.809 0.500
Na2 0.809 0.191 0.000
V1 0.126 0.373 0.500
V2 0.373 0.126 0.000
V3 0.628 0.882 0.500
V4 0.882 0.628 0.000
O1 0.037 0.279 0.781
O2 0.237 0.446 0.223
O3 0.279 0.037 0.281
O4 0.446 0.237 0.723
O5 0.520 0.808 0.788
O6 0.720 0.969 0.216
O7 0.808 0.520 0.288
O8 0.969 0.720 0.716